VASP calculation (PBE-GGA) on crystalline SrZn2Co at its relaxed geometry.

## Properties
Total magnetization, μB per formula unit: 0.557
Formation energy, eV per atom: 0.15
DOS at the Fermi energy, states/eV/atom: 1.29

Structure (POSCAR):
```
SrZn2Co
1.0
-0.801 1.396 -4.520
-0.552 -4.581 -1.317
-8.858 -1.070 -1.306
Sr Zn Co
2 4 2
Direct
0.000 0.000 0.000 Sr
0.750 0.250 0.500 Sr
0.875 0.625 0.750 Zn
0.375 0.125 0.250 Zn
0.375 0.625 0.750 Zn
0.375 0.625 0.250 Zn
0.500 0.500 0.000 Co
0.250 0.750 0.500 Co
```

=====

VASP calculation (PBE-GGA) on crystalline Mg6TlH12 at its relaxed geometry.

## Properties
Total magnetization, μB per formula unit: 0.000
DOS at the Fermi energy, states/eV/atom: 0.07
Total DFT energy (no corrections), eV per cell: -52.69

Structure (POSCAR):
```
Mg6TlH12
1.0
-1.954 1.462 5.468
-1.639 -5.716 -0.702
5.960 -0.202 0.539
Mg Tl H
6 1 12
Direct
0.638 0.239 0.239 Mg
0.362 0.761 0.761 Mg
0.239 0.638 0.239 Mg
0.761 0.362 0.761 Mg
0.239 0.239 0.638 Mg
0.761 0.761 0.362 Mg
0.000 0.000 0.000 Tl
0.538 0.538 0.824 H
0.870 0.130 0.500 H
0.870 0.500 0.130 H
0.130 0.870 0.500 H
0.462 0.462 0.176 H
0.462 0.176 0.462 H
0.500 0.870 0.130 H
0.130 0.500 0.870 H
0.176 0.462 0.462 H
0.538 0.824 0.538 H
0.500 0.130 0.870 H
0.824 0.538 0.538 H
```

=====

VASP calculation (PBE-GGA) on crystalline Ba2ZrTl at its relaxed geometry.

## Properties
Total magnetization, μB per formula unit: 0.032
Excess energy over the best structure of this formula in the dataset, eV per atom: 0.0722
Formation energy, eV per atom: 0.21
DOS at the Fermi energy, states/eV/atom: 1.41

Structure (POSCAR):
```
Ba2ZrTl
1.0
-4.474 -1.234 -2.685
-1.349 -1.920 3.129
-3.811 5.160 3.979
Zr Ba Tl
1 2 1
Direct
0.500 0.574 0.728 Zr
0.500 0.283 0.310 Ba
0.000 0.968 0.937 Ba
0.000 0.674 0.525 Tl
```

=====

VASP calculation (PBE-GGA) on crystalline TlNiSe2 at its relaxed geometry.

## Properties
Total magnetization, μB per formula unit: 0.000
Formation energy (no corrections), eV/atom: 0.234
DOS at the Fermi energy, states/eV/atom: 0.34

Structure (POSCAR):
```
TlNiSe2
1.0
4.829 0.064 0.114
-1.615 4.559 -0.018
1.600 2.233 3.978
Tl Se Ni
1 2 1
Direct
0.000 0.500 0.500 Tl
0.000 0.000 0.000 Se
0.500 0.000 0.500 Se
0.500 0.500 0.000 Ni
```

=====

VASP calculation (PBE-GGA) on crystalline ReSi2W at its relaxed geometry.

## Properties
Total magnetization, μB per formula unit: 0.000
Formation energy (no corrections), eV/atom: -0.003
Excess energy over the best structure of this formula in the dataset, eV per atom: 0.2986
DOS at the Fermi energy, states/eV/atom: 0.93

Structure (POSCAR):
```
ReSi2W
1.0
0.000 3.021 3.021
3.021 0.000 3.021
3.021 3.021 0.000
Si W Re
2 1 1
Direct
0.750 0.750 0.750 Si
0.250 0.250 0.250 Si
0.000 0.000 0.000 W
0.500 0.500 0.500 Re
```

=====

VASP calculation (PBE-GGA) on crystalline V7Ge2As2 at its relaxed geometry.

## Properties
Total magnetization, μB per formula unit: 0.000
Formation energy, eV per atom: -0.05
DOS at the Fermi energy, states/eV/atom: 0.64

Structure (POSCAR):
```
V7Ge2As2
1.0
-5.005 -0.157 -2.858
-0.887 -3.782 3.646
-1.460 3.273 4.516
V Ge As
7 2 2
Direct
0.040 0.283 0.562 V
0.000 0.000 0.000 V
0.484 0.709 0.516 V
0.562 0.717 0.040 V
0.438 0.283 0.960 V
0.516 0.291 0.484 V
0.960 0.717 0.438 V
0.817 0.500 0.817 Ge
0.183 0.500 0.183 Ge
0.272 0.925 0.728 As
0.728 0.075 0.272 As
```

=====

Q: Look up the total magnetization of the third one.
A: 0.032 μB per formula unit

=====

Q: Number 4 is which compound?
A: TlNiSe2

=====

Q: Which of these has the highest DOS at the Fermi energy?
A: Ba2ZrTl

=====

Q: What is the DOS at the Fermi energy in the third record?
A: 1.41 states/eV/atom